Entry 1:
Crystalline La6Tc2HCl3 at its relaxed geometry. Source: Alexandria, functional PBE.

Cell: 6.830 6.830 8.108 Å, 97.94 97.94 117.89°
Element x y z (fractional)
La 0.083 0.411 0.698
La 0.234 0.234 0.274
La 0.411 0.083 0.698
La 0.589 0.917 0.302
La 0.766 0.766 0.726
La 0.917 0.589 0.302
Tc 0.362 0.638 0.500
Tc 0.638 0.362 0.500
H 0.000 0.000 0.500
Cl 0.182 0.818 0.000
Cl 0.500 0.500 0.000
Cl 0.818 0.182 0.000

Properties
Total energy, eV/atom: -5.8069
Size of the total moment, μB/cell: 0.0

=====

Entry 2:
Crystalline La8Tc3HCl4 at its relaxed geometry. Source: Alexandria, functional PBE.

Cell: 9.026 9.026 9.026 Å, 53.89 53.89 53.89°
Element x y z (fractional)
La 0.228 0.737 0.737
La 0.239 0.239 0.239
La 0.263 0.263 0.772
La 0.263 0.772 0.263
La 0.737 0.228 0.737
La 0.737 0.737 0.228
La 0.761 0.761 0.761
La 0.772 0.263 0.263
Tc 0.000 0.000 0.500
Tc 0.000 0.500 0.000
Tc 0.500 0.000 0.000
H 0.500 0.500 0.500
Cl 0.000 0.000 0.000
Cl 0.000 0.500 0.500
Cl 0.500 0.000 0.500
Cl 0.500 0.500 0.000

Properties
Total energy, eV/atom: -5.8690
Size of the total moment, μB/cell: 0.0

=====

Entry 3:
Crystalline LaTe2HCl at its relaxed geometry. Source: Alexandria, functional PBE.

Cell: 4.555 4.555 5.493 Å, 90.00 90.00 90.00°
Element x y z (fractional)
La 0.000 0.000 0.000
Te 0.000 0.500 0.500
Te 0.500 0.000 0.500
H 0.500 0.500 0.500
Cl 0.500 0.500 0.000

Properties
Total energy, eV/atom: -3.9692
Size of the total moment, μB/cell: 0.0

=====

Entry 4:
Crystalline Li2HCl at its relaxed geometry. Source: Alexandria, functional PBE.

Cell: 3.493 3.493 5.555 Å, 90.00 90.00 120.00°
Element x y z (fractional)
Li 0.000 0.000 0.000
Li 0.333 0.667 0.462
H 0.000 0.000 0.325
Cl 0.667 0.333 0.785

Properties
Energy above the most stable polymorph in this dataset, meV/atom: 31
Size of the total moment, μB/cell: 0.0

=====

Entry 5:
Crystalline LiHCl3 at its relaxed geometry. Source: Alexandria, functional PBE.

Cell: 4.475 4.475 4.475 Å, 90.00 90.00 90.00°
Element x y z (fractional)
Li 0.000 0.000 0.000
H 0.500 0.500 0.500
Cl 0.000 0.500 0.500
Cl 0.500 0.000 0.500
Cl 0.500 0.500 0.000

Properties
Energy above the most stable polymorph in this dataset, meV/atom: 573
Size of the total moment, μB/cell: 1.0

=====

Entry 6:
Crystalline Li2HCl at its relaxed geometry. Source: Alexandria, functional PBE.

Cell: 3.068 3.068 5.942 Å, 90.00 90.00 90.00°
Element x y z (fractional)
Li 0.000 0.000 0.235
Li 0.000 0.000 0.765
H 0.500 0.500 0.000
Cl 0.500 0.500 0.500

Properties
Energy above the most stable polymorph in this dataset, meV/atom: 315
Size of the total moment, μB/cell: 0.0

=====

Question: Which of these has the highest size of the total moment?
Answer: LiHCl3

=====

Question: size of the total moment of number 3 (LaTe2HCl)?
Answer: 0.0 μB/cell